P:
Density functional theory data (PBE-GGA) for a relaxed SrZnSe2N crystal.

Properties
- density (kg/m³) = 4908
- crystal system = tetragonal
- SG = No. 123
- spin magnetization (μB per formula unit) = 2.301

Cell: 5.2658 5.2658 3.9648 Å, 90.00 90.00 90.00°
Closest atoms and distances in Å follow each position.
Fractional coordinates of all 5 atoms:
Sr 0.5000 0.5000 0.5000  8 Se 3.30
Zn 0.0000 0.0000 0.0000  2 N 1.98
Se 0.0000 0.5000 0.0000  2 Zn 2.63
Se 0.5000 0.0000 0.0000  2 Zn 2.63
N 0.0000 0.0000 0.5000  2 Zn 1.98

Q:
Density functional theory data (PBE-GGA) for a relaxed SrZnSe2N crystal.

Properties
- density (kg/m³) = 3579
- crystal system = tetragonal
- SG = No. 123
- spin magnetization (μB per formula unit) = 0.000

Cell: 5.8074 5.8074 4.4701 Å, 90.00 90.00 90.00°
Closest atoms and distances in Å follow each position.
Fractional coordinates of all 5 atoms:
Sr 0.0000 0.0000 0.0000  2 N 2.24
Zn 0.5000 0.5000 0.5000  8 Se 3.66
Se 0.0000 0.5000 0.0000  2 Sr 2.90
Se 0.5000 0.0000 0.0000  2 Sr 2.90
N 0.0000 0.0000 0.5000  2 Sr 2.24

Stability check: which of them is most stable? P.

P:
Density functional theory data (PBE-GGA) for a relaxed SrZrSeN2 crystal.

Properties
- density (kg/m³) = 4691
- crystal system = tetragonal
- SG = No. 123
- spin magnetization (μB per formula unit) = 0.963

Cell: 4.2913 4.2913 5.4940 Å, 90.00 90.00 90.00°
Closest atoms and distances in Å follow each position.
Fractional coordinates of all 5 atoms:
Sr 0.5000 0.5000 0.5000  4 Se 3.03
Se 0.0000 0.0000 0.5000  2 Zr 2.75, 4 Sr 3.03
Zr 0.0000 0.0000 0.0000  4 N 2.15
N 0.0000 0.5000 0.0000  2 Zr 2.15
N 0.5000 0.0000 0.0000  2 Zr 2.15

Q:
Density functional theory data (PBE-GGA) for a relaxed SrZrSeN2 crystal.

Properties
- density (kg/m³) = 4718
- crystal system = tetragonal
- SG = No. 123
- spin magnetization (μB per formula unit) = 0.000

Cell: 4.2406 4.2406 5.5942 Å, 90.00 90.00 90.00°
Closest atoms and distances in Å follow each position.
Fractional coordinates of all 5 atoms:
Sr 0.0000 0.0000 0.0000  4 N 2.12
Se 0.0000 0.0000 0.5000  2 Sr 2.80, 4 Zr 3.00
Zr 0.5000 0.5000 0.5000  4 Se 3.00
N 0.0000 0.5000 0.0000  2 Sr 2.12
N 0.5000 0.0000 0.0000  2 Sr 2.12

Stability check: which of them is most stable? P.

P:
Density functional theory data (PBE-GGA) for a relaxed TaSe3N crystal.

Properties
- density (kg/m³) = 5596
- crystal system = cubic
- SG = No. 221
- spin magnetization (μB per formula unit) = 2.944

Cell: 5.0415 5.0415 5.0415 Å, 90.00 90.00 90.00°
Closest atoms and distances in Å follow each position.
Fractional coordinates of all 5 atoms:
N 0.5000 0.5000 0.5000  12 Se 3.56
Se 0.0000 0.5000 0.0000  2 Ta 2.52
Se 0.0000 0.0000 0.5000  2 Ta 2.52
Se 0.5000 0.0000 0.0000  2 Ta 2.52
Ta 0.0000 0.0000 0.0000  6 Se 2.52

Q:
Density functional theory data (PBE-GGA) for a relaxed TaSe3N crystal.

Properties
- density (kg/m³) = 8746
- crystal system = cubic
- SG = No. 221
- spin magnetization (μB per formula unit) = 0.000

Cell: 4.3442 4.3442 4.3442 Å, 90.00 90.00 90.00°
Closest atoms and distances in Å follow each position.
Fractional coordinates of all 5 atoms:
N 0.0000 0.0000 0.0000  6 Se 2.17
Se 0.0000 0.5000 0.0000  2 N 2.17
Se 0.0000 0.0000 0.5000  2 N 2.17
Se 0.5000 0.0000 0.0000  2 N 2.17
Ta 0.5000 0.5000 0.5000  12 Se 3.07

Stability check: which of them is most stable? P.